No. 1
A relaxed BAsPSe2 crystal. Source: Alexandria via LeMat-Bulk, functional PBE-GGA.

```
data_BAsPSe2
_symmetry_space_group_name_H-M 'P 4/m m m'
_symmetry_Int_Tables_number 123
_symmetry_space_group_name_Hall '-P 4 2'
_cell_length_a 4.386
_cell_length_b 4.386
_cell_length_c 4.451
_cell_angle_alpha 90.00
_cell_angle_beta 90.00
_cell_angle_gamma 90.00
loop_
_atom_site_label
_atom_site_type_symbol
_atom_site_fract_x
_atom_site_fract_y
_atom_site_fract_z
B1 B 0.000 0.000 0.000
As1 As 0.000 0.000 0.500
P1 P 0.500 0.500 0.500
Se1 Se 0.000 0.500 0.000
```

Output
The energy above the most stable polymorph in this dataset is 0.0 meV per atom.



No. 2
A relaxed ZnBAsP2 crystal. Source: Alexandria via LeMat-Bulk, functional PBE-GGA.

```
data_ZnBAsP2
_symmetry_space_group_name_H-M 'P 4/m m m'
_symmetry_Int_Tables_number 123
_symmetry_space_group_name_Hall '-P 4 2'
_cell_length_a 4.020
_cell_length_b 4.020
_cell_length_c 4.770
_cell_angle_alpha 90.00
_cell_angle_beta 90.00
_cell_angle_gamma 90.00
loop_
_atom_site_label
_atom_site_type_symbol
_atom_site_fract_x
_atom_site_fract_y
_atom_site_fract_z
Zn1 Zn 0.000 0.000 0.000
B1 B 0.500 0.500 0.500
As1 As 0.500 0.500 0.000
P1 P 0.000 0.500 0.500
```

Output
The calculation puts the energy of formation from the pure elements at 779 meV/atom.



No. 3
A relaxed Pa5BAs5 crystal. Source: Alexandria via LeMat-Bulk, functional PBE-GGA.

```
data_Pa5BAs5
_symmetry_space_group_name_H-M 'C 1 2/m 1'
_symmetry_Int_Tables_number 12
_symmetry_space_group_name_Hall '-C 2y'
_cell_length_a 12.770
_cell_length_b 5.680
_cell_length_c 8.010
_cell_angle_alpha 90.00
_cell_angle_beta 108.97
_cell_angle_gamma 90.00
loop_
_atom_site_label
_atom_site_type_symbol
_atom_site_fract_x
_atom_site_fract_y
_atom_site_fract_z
Pa1 Pa 0.000 0.000 0.000
Pa2 Pa 0.154 0.500 0.844
Pa3 Pa 0.156 0.500 0.314
B1 B 0.000 0.500 0.000
As1 As 0.000 0.500 0.500
As2 As 0.160 0.000 0.820
As3 As 0.177 0.000 0.336
```

Output
The calculation puts the energy of formation from the pure elements at -679 meV/atom.



No. 4
A relaxed Pa2BAsRu6 crystal. Source: Alexandria via LeMat-Bulk, functional PBE-GGA.

```
data_Pa2BAsRu6
_symmetry_space_group_name_H-M 'P 4/m m m'
_symmetry_Int_Tables_number 123
_symmetry_space_group_name_Hall '-P 4 2'
_cell_length_a 4.404
_cell_length_b 4.404
_cell_length_c 8.670
_cell_angle_alpha 90.00
_cell_angle_beta 90.00
_cell_angle_gamma 90.00
loop_
_atom_site_label
_atom_site_type_symbol
_atom_site_fract_x
_atom_site_fract_y
_atom_site_fract_z
Pa1 Pa 0.000 0.000 0.235
B1 B 0.500 0.500 0.000
As1 As 0.500 0.500 0.500
Ru1 Ru 0.000 0.500 0.000
Ru2 Ru 0.000 0.500 0.500
Ru3 Ru 0.500 0.500 0.231
```

Output
The calculation puts the energy of formation from the pure elements at -180 meV/atom.